[1]
{
  "formula": "NiW4",
  "functional": "PBE-GGA",
  "state": "relaxed",
  "lattice": [[-2.051, 2.051, 5.642], [2.051, -2.051, 5.642], [2.051, 2.051, -5.642]],
  "species": ["Ni", "W", "W", "W", "W"],
  "fractional_positions": [[0.000, 0.000, 0.000], [0.250, 0.750, 0.500], [0.386, 0.386, 0.000], [0.614, 0.614, 0.000], [0.750, 0.250, 0.500]],
  "formation_energy_ev_per_fu": 6.385,
  "total_energy_ev_per_atom": -10.242,
  "de_polymorph_mev_per_atom": 1076.4,
  "sg": "I4/mmm"
}

=====

[2]
{
  "formula": "NiW2",
  "functional": "PBE-GGA",
  "state": "relaxed",
  "lattice": [[4.431, 0.000, 0.000], [-2.215, 3.837, 0.000], [0.000, 0.000, 2.594]],
  "species": ["Ni", "W", "W"],
  "fractional_positions": [[0.000, 0.000, 0.000], [0.333, 0.667, 0.320], [0.667, 0.333, 0.680]],
  "formation_energy_ev_per_fu": 0.667,
  "total_energy_ev_per_atom": -10.340,
  "de_polymorph_mev_per_atom": 139.4,
  "sg": "P-3m1"
}

=====

[3]
{
  "formula": "Ni2W",
  "functional": "PBE-GGA",
  "state": "relaxed",
  "lattice": [[0.000, 3.328, 3.328], [3.328, 0.000, 3.328], [3.328, 3.328, 0.000]],
  "species": ["Ni", "Ni", "Ni", "Ni", "W", "W"],
  "fractional_positions": [[0.000, 0.000, 0.000], [0.000, 0.000, 0.500], [0.000, 0.500, 0.000], [0.500, 0.000, 0.000], [0.375, 0.375, 0.375], [0.625, 0.625, 0.625]],
  "formation_energy_ev_per_fu": -0.019,
  "total_energy_ev_per_atom": -8.178,
  "sg": "Fd-3m"
}

=====

[4]
{
  "formula": "NiW3",
  "functional": "PBE-GGA",
  "state": "relaxed",
  "lattice": [[1.377, 0.795, 9.294], [-1.377, 0.795, 9.294], [0.000, -1.591, 9.294]],
  "species": ["Ni", "W", "W", "W"],
  "fractional_positions": [[0.000, 0.000, 0.000], [0.256, 0.256, 0.256], [0.500, 0.500, 0.500], [0.744, 0.744, 0.744]],
  "formation_energy_ev_per_fu": 1.382,
  "total_energy_ev_per_atom": -10.815,
  "sg": "R-3m"
}

=====

[5]
{
  "formula": "Ni4W5",
  "functional": "PBE-GGA",
  "state": "relaxed",
  "lattice": [[-4.032, 4.032, 1.925], [4.032, -4.032, 1.925], [4.032, 4.032, -1.925]],
  "species": ["Ni", "Ni", "Ni", "Ni", "W", "W", "W", "W", "W"],
  "fractional_positions": [[0.000, 0.345, 0.345], [0.000, 0.655, 0.655], [0.345, 0.000, 0.345], [0.655, 0.000, 0.655], [0.000, 0.000, 0.000], [0.327, 0.327, 0.655], [0.327, 0.673, 0.000], [0.673, 0.327, 0.000], [0.673, 0.673, 0.345]],
  "formation_energy_ev_per_fu": 1.227,
  "total_energy_ev_per_atom": -9.629,
  "de_polymorph_mev_per_atom": 0.0,
  "sg": "I4/mmm"
}

=====

[6]
{
  "formula": "Ni7W",
  "functional": "PBE-GGA",
  "state": "relaxed",
  "lattice": [[0.000, 3.581, 3.581], [3.581, 0.000, 3.581], [3.581, 3.581, 0.000]],
  "species": ["Ni", "Ni", "Ni", "Ni", "Ni", "Ni", "Ni", "W"],
  "fractional_positions": [[0.000, 0.000, 0.000], [0.000, 0.000, 0.500], [0.000, 0.500, 0.000], [0.000, 0.500, 0.500], [0.500, 0.000, 0.000], [0.500, 0.000, 0.500], [0.500, 0.500, 0.000], [0.500, 0.500, 0.500]],
  "formation_energy_ev_per_fu": 0.126,
  "total_energy_ev_per_atom": -6.662,
  "de_polymorph_mev_per_atom": 36.9,
  "sg": "Fm-3m"
}

=====

[7]
{
  "formula": "NiW3",
  "functional": "PBE-GGA",
  "state": "relaxed",
  "lattice": [[2.761, 0.000, 0.000], [-1.380, 2.391, 0.000], [0.000, 0.000, 9.234]],
  "species": ["Ni", "W", "W", "W"],
  "fractional_positions": [[0.000, 0.000, 0.000], [0.000, 0.000, 0.500], [0.333, 0.667, 0.231], [0.333, 0.667, 0.769]],
  "formation_energy_ev_per_fu": 1.305,
  "total_energy_ev_per_atom": -10.834,
  "sg": "P-6m2"
}

=====

[8]
{
  "formula": "Ni2W",
  "functional": "PBE-GGA",
  "state": "relaxed",
  "lattice": [[-1.319, 1.319, 11.504], [1.319, -1.319, 11.504], [1.319, 1.319, -11.504]],
  "species": ["Ni", "Ni", "Ni", "Ni", "W", "W"],
  "fractional_positions": [[0.295, 0.545, 0.750], [0.455, 0.705, 0.750], [0.545, 0.295, 0.250], [0.705, 0.455, 0.250], [0.125, 0.875, 0.250], [0.875, 0.125, 0.750]],
  "formation_energy_ev_per_fu": 0.545,
  "total_energy_ev_per_atom": -7.990,
  "sg": "I4_1/amd"
}